1.
# TaCuSe2

Crystalline TaCuSe2 at its relaxed geometry (PBE, Alexandria).

Cell: 7.372 7.372 7.893 Å, 92.90 92.90 26.99°
Element x y z (fractional)
Ta1 0.189 0.189 0.403
Ta2 0.811 0.811 0.597
Cu1 0.280 0.280 0.107
Cu2 0.720 0.720 0.893
Se1 0.357 0.357 0.842
Se2 0.374 0.374 0.380
Se3 0.626 0.626 0.620
Se4 0.643 0.643 0.158

Properties
The value obtained for the total magnetization is 0.00 μB/cell. As for the theoretical density: 6.9 g cm⁻³. The raw formation energy comes out at -0.4501 eV per atom.

=====

2.
# TaCuSe2

Crystalline TaCuSe2 at its relaxed geometry (PBE, Alexandria).

Cell: 3.281 3.267 6.459 Å, 90.00 99.22 90.00°
Element x y z (fractional)
Ta1 0.000 0.000 0.000
Cu1 0.000 0.000 0.500
Se1 0.416 0.500 0.763
Se2 0.584 0.500 0.237

Properties
The value obtained for the total magnetization is 0.00 μB/cell. As for the theoretical density: 9.8 g cm⁻³. The raw formation energy comes out at -0.2515 eV per atom.

=====

3.
# TaCuSe2

Crystalline TaCuSe2 at its relaxed geometry (PBE, Alexandria).

Cell: 4.570 4.570 4.570 Å, 60.00 60.00 60.00°
Element x y z (fractional)
Ta1 0.000 0.000 0.000
Cu1 0.500 0.500 0.500
Se1 0.250 0.250 0.250
Se2 0.750 0.750 0.750

Properties
The value obtained for the total magnetization is 0.00 μB/cell. As for the theoretical density: 9.9 g cm⁻³. The raw formation energy comes out at 0.0734 eV per atom.

=====

4.
# TaCuSe2

Crystalline TaCuSe2 at its relaxed geometry (PBE, Alexandria).

Cell: 3.257 4.524 4.535 Å, 90.00 90.00 90.00°
Element x y z (fractional)
Ta1 0.000 0.000 0.000
Cu1 0.000 0.500 0.500
Se1 0.500 0.000 0.500
Se2 0.500 0.500 0.000

Properties
The value obtained for the total magnetization is 0.00 μB/cell. As for the theoretical density: 10.0 g cm⁻³. The raw formation energy comes out at 0.0944 eV per atom.

=====

5.
# Ta3CuSe6

Crystalline Ta3CuSe6 at its relaxed geometry (PBE, Alexandria).

Cell: 8.121 8.121 6.203 Å, 90.00 90.00 100.95°
Element x y z (fractional)
Ta1 0.097 0.903 0.500
Ta2 0.246 0.439 0.395
Ta3 0.439 0.246 0.895
Ta4 0.561 0.754 0.395
Ta5 0.754 0.561 0.895
Ta6 0.903 0.097 0.000
Cu1 0.243 0.757 0.844
Cu2 0.757 0.243 0.344
Se1 0.028 0.596 0.638
Se2 0.136 0.202 0.698
Se3 0.202 0.136 0.198
Se4 0.268 0.732 0.222
Se5 0.404 0.972 0.638
Se6 0.446 0.554 0.748
Se7 0.554 0.446 0.248
Se8 0.596 0.028 0.138
Se9 0.732 0.268 0.722
Se10 0.798 0.864 0.698
Se11 0.864 0.798 0.198
Se12 0.972 0.404 0.138

Properties
The value obtained for the total magnetization is 0.00 μB/cell. As for the theoretical density: 8.9 g cm⁻³. The raw formation energy comes out at -0.4100 eV per atom.

=====

6.
# TaCuSe2

Crystalline TaCuSe2 at its relaxed geometry (PBE, Alexandria).

Cell: 7.421 7.421 7.421 Å, 26.45 26.45 26.45°
Element x y z (fractional)
Ta1 0.000 0.000 0.000
Cu1 0.500 0.500 0.500
Se1 0.250 0.250 0.250
Se2 0.750 0.750 0.750

Properties
The value obtained for the total magnetization is 0.00 μB/cell. As for the theoretical density: 9.4 g cm⁻³. The raw formation energy comes out at -0.2903 eV per atom.

=====

7.
# TaCu2Se

Crystalline TaCu2Se at its relaxed geometry (PBE, Alexandria).

Cell: 4.404 4.404 4.404 Å, 60.00 60.00 60.00°
Element x y z (fractional)
Ta1 0.000 0.000 0.000
Cu1 0.250 0.250 0.250
Cu2 0.500 0.500 0.500
Se1 0.750 0.750 0.750

Properties
The value obtained for the total magnetization is 0.00 μB/cell. As for the theoretical density: 10.6 g cm⁻³. The raw formation energy comes out at 0.2747 eV per atom.

=====

8.
# TaCuSe

Crystalline TaCuSe at its relaxed geometry (PBE, Alexandria).

Cell: 4.325 4.325 3.228 Å, 90.00 90.00 120.00°
Element x y z (fractional)
Ta1 0.000 0.000 0.000
Cu1 0.667 0.333 0.500
Se1 0.333 0.667 0.000

Properties
The value obtained for the total magnetization is 0.00 μB/cell. As for the theoretical density: 10.3 g cm⁻³. The distance to the lowest polymorph of the same formula comes out at 287.8 meV/atom. The raw formation energy comes out at 0.2531 eV per atom.

=====

9.
# TaCuSe2

Crystalline TaCuSe2 at its relaxed geometry (PBE, Alexandria).

Cell: 4.624 4.624 4.624 Å, 60.00 60.00 60.00°
Element x y z (fractional)
Ta1 0.000 0.000 0.000
Cu1 0.750 0.750 0.750
Se1 0.250 0.250 0.250
Se2 0.500 0.500 0.500

Properties
The value obtained for the total magnetization is 0.00 μB/cell. As for the theoretical density: 9.6 g cm⁻³. The raw formation energy comes out at 0.5253 eV per atom.

=====

10.
# TaCuSe

Crystalline TaCuSe at its relaxed geometry (PBE, Alexandria).

Cell: 4.326 4.326 4.326 Å, 60.00 60.00 60.00°
Element x y z (fractional)
Ta1 0.000 0.000 0.000
Cu1 0.250 0.250 0.250
Se1 0.750 0.750 0.750

Properties
The value obtained for the total magnetization is 0.00 μB/cell. As for the theoretical density: 9.4 g cm⁻³. The distance to the lowest polymorph of the same formula comes out at 447.5 meV/atom. The raw formation energy comes out at 0.4128 eV per atom.

=====

11.
# TaCuSe4

Crystalline TaCuSe4 at its relaxed geometry (PBE, Alexandria).

Cell: 8.380 8.380 8.169 Å, 104.91 104.91 34.86°
Element x y z (fractional)
Ta1 0.200 0.200 0.278
Ta2 0.800 0.800 0.722
Cu1 0.108 0.108 0.694
Cu2 0.892 0.892 0.306
Se1 0.069 0.069 0.386
Se2 0.111 0.111 0.997
Se3 0.262 0.262 0.648
Se4 0.362 0.362 0.286
Se5 0.638 0.638 0.714
Se6 0.738 0.738 0.352
Se7 0.889 0.889 0.003
Se8 0.931 0.931 0.614

Properties
The value obtained for the total magnetization is 0.00 μB/cell. As for the theoretical density: 5.9 g cm⁻³. The distance to the lowest polymorph of the same formula comes out at 0.0 meV/atom. The raw formation energy comes out at -0.2319 eV per atom.

=====

12.
# TaCuSe2

Crystalline TaCuSe2 at its relaxed geometry (PBE, Alexandria).

Cell: 3.202 3.202 7.764 Å, 90.00 90.00 113.57°
Element x y z (fractional)
Ta1 0.000 0.000 0.000
Cu1 0.000 0.000 0.500
Se1 0.500 0.500 0.254
Se2 0.500 0.500 0.746

Properties
The value obtained for the total magnetization is 0.00 μB/cell. As for the theoretical density: 9.2 g cm⁻³. The raw formation energy comes out at 0.1866 eV per atom.

=====

Which of these has the lowest theoretical density?
TaCuSe4